Entry 1:
SmFe2Ge2C (PBE-GGA, relaxed); formation energy from the elements = -0.276 eV/atom; magnetic moment = 2.35 μB per cell
1.0
-2.421 3.062 -0.683
-3.136 -2.347 0.596
0.077 1.243 5.299
Sm Ge Fe C
1 2 2 1
Direct
0.000 0.000 0.500
0.500 0.500 0.269
0.500 0.500 0.731
0.500 0.000 0.000
0.000 0.500 0.000
0.000 0.000 0.000

***

Entry 2:
Fe2TcGeC (PBE-GGA, relaxed); formation energy from the elements = 0.077 eV/atom; magnetic moment = 0.90 μB per cell
1.0
-1.632 2.650 2.106
-3.372 -1.068 -1.269
-0.322 -2.650 3.085
Ge Fe Tc C
1 2 1 1
Direct
0.500 0.500 0.500
0.000 0.500 0.000
0.500 0.000 0.000
0.000 0.000 0.500
0.000 0.000 0.000

***

Entry 3:
ThFe2Ge2C (PBE-GGA, relaxed); formation energy from the elements = -0.289 eV/atom; magnetic moment = 2.65 μB per cell
1.0
4.044 0.000 0.000
0.000 4.044 0.000
0.000 0.000 5.373
Th Ge C Fe
1 2 1 2
Direct
0.000 0.000 0.500
0.500 0.500 0.735
0.500 0.500 0.265
0.000 0.000 0.000
0.500 0.000 0.000
0.000 0.500 0.000

***

Entry 4:
TiFe2GeC (PBE-GGA, relaxed); formation energy from the elements = -0.197 eV/atom; magnetic moment = 3.18 μB per cell
1.0
-1.291 1.206 3.346
-1.703 -3.335 0.545
3.476 -1.469 1.871
Fe C Ge Ti
2 1 1 1
Direct
0.000 0.500 0.000
0.500 0.000 0.000
0.000 0.000 0.000
0.500 0.500 0.500
0.000 0.000 0.500

***

> Which formula does entry 1 have?

SmFe2Ge2C